Record 1
Computed, not measured: crystalline BaSmAgTe3 at its relaxed geometry at the PBE level of DFT.

Output
total energy: -4.37 eV/atom
crystal system: monoclinic

Cell: 19.955 4.559 9.323 Å, 90.00 102.08 90.00°
Space group C2/m (No. 12)
Asymmetric unit:
Ba 0.131 0.000 0.075 [4 per cell]
Sm 0.164 0.000 0.589 [4 per cell]
Ag 0.036 0.500 0.708 [4 per cell]
Te 0.000 0.000 0.500 [2 per cell]
Te 0.000 0.500 0.000 [2 per cell]
Te 0.173 0.500 0.363 [4 per cell]
Te 0.181 0.500 0.826 [4 per cell]

Record 2
Computed, not measured: crystalline BaU3 at its relaxed geometry at the PBE level of DFT.

Output
total energy: -7.84 eV/atom
crystal system: tetragonal

Cell: 4.665 4.665 9.308 Å, 90.00 90.00 90.00°
Space group I4/mmm (No. 139)
Asymmetric unit:
Ba 0.000 0.000 0.000 [2 per cell]
U 0.000 0.000 0.500 [2 per cell]
U 0.000 0.500 0.250 [4 per cell]

Record 3
Computed, not measured: crystalline HfCdB4 at its relaxed geometry at the PBE level of DFT.

Output
energy above the most stable polymorph in this dataset: 0 kJ/mol of formula units
crystal system: hexagonal

Cell: 3.1331 3.1331 7.6022 Å, 90.00 90.00 120.00°
Space group P6/mmm (No. 191)
Asymmetric unit:
Hf 0.0000 0.0000 0.0000 [1 per cell]
Cd 0.0000 0.0000 0.5000 [1 per cell]
B 0.3333 0.6667 0.2253 [4 per cell]

Record 4
Computed, not measured: crystalline BiW at its relaxed geometry at the PBE level of DFT.

Output
energy above the most stable polymorph in this dataset: 230 kJ/mol of formula units
crystal system: cubic

Cell: 5.846 5.846 5.846 Å, 90.00 90.00 90.00°
Space group Fm-3m (No. 225)
Asymmetric unit:
Bi 0.000 0.000 0.000 [4 per cell]
W 0.000 0.000 0.500 [4 per cell]

Record 5
Computed, not measured: crystalline CsK2Au2 at its relaxed geometry at the PBE level of DFT.

Output
total energy: -2.17 eV/atom
crystal system: tetragonal

Cell: 5.353 5.353 14.263 Å, 90.00 90.00 90.00°
Space group I4/mmm (No. 139)
Asymmetric unit:
Cs 0.000 0.000 0.000 [2 per cell]
K 0.000 0.500 0.250 [4 per cell]
Au 0.000 0.000 0.401 [4 per cell]

Record 6
Computed, not measured: crystalline HfInNiPd at its relaxed geometry at the PBE level of DFT.

Output
energy above the most stable polymorph in this dataset: 114 kJ/mol of formula units
crystal system: cubic

Cell: 6.457 6.457 6.457 Å, 90.00 90.00 90.00°
Space group F-43m (No. 216)
Asymmetric unit:
Hf 0.000 0.000 0.000 [4 per cell]
In 0.250 0.250 0.750 [4 per cell]
Ni 0.250 0.250 0.250 [4 per cell]
Pd 0.000 0.000 0.500 [4 per cell]

Record 7
Computed, not measured: crystalline PuIrW at its relaxed geometry at the PBE level of DFT.

Output
energy above the most stable polymorph in this dataset: 25 kJ/mol of formula units
ΔE_f: 0.8453 eV/atom
crystal system: cubic

Cell: 6.264 6.264 6.264 Å, 90.00 90.00 90.00°
Space group F-43m (No. 216)
Asymmetric unit:
Pu 0.000 0.000 0.000 [4 per cell]
Ir 0.250 0.250 0.750 [4 per cell]
W 0.000 0.000 0.500 [4 per cell]

Record 8
Computed, not measured: crystalline Ho2Pb2O5 at its relaxed geometry at the PBE level of DFT.

Output
energy above the most stable polymorph in this dataset: 742 kJ/mol of formula units
crystal system: tetragonal

Cell: 4.467 4.467 7.085 Å, 90.00 90.00 90.00°
Space group P4/mmm (No. 123)
Asymmetric unit:
Ho 0.000 0.000 0.000 [1 per cell]
Ho 0.000 0.000 0.500 [1 per cell]
Pb 0.500 0.500 0.206 [2 per cell]
O 0.000 0.500 0.225 [4 per cell]
O 0.500 0.500 0.500 [1 per cell]